# 1
Entry from OQMD via LeMat-Bulk: an optimized crystal structure of TbHo2Al3CuSn2 (PBE).

a b c (Å): 4.2767 7.2909 7.2909
angles (deg): 120.16 90.00 90.00
Last column: nearest neighbours and their distance in Å.
Fractional positions:
Tb: 0.0000 0.0000 0.0000  1 Cu 2.84, 4 Sn 3.12
Ho: 0.0000 0.2251 0.6125  1 Cu 2.81, 4 Sn 3.10-3.11
Ho: 0.0000 0.6125 0.2251  1 Cu 2.81, 4 Sn 3.10-3.11
Al: 0.5000 0.3882 0.3882  2 Cu 2.68, 2 Al 2.81, 2 Sn 2.92
Al: 0.5000 0.6118 0.8344  2 Cu 2.69, 2 Al 2.81, 2 Sn 2.91-2.92
Al: 0.5000 0.8344 0.6118  2 Cu 2.69, 2 Al 2.81, 2 Sn 2.91-2.92
Cu: 0.0000 0.6093 0.6093  6 Al 2.68-2.69, 2 Ho 2.81, 1 Tb 2.84
Sn: 0.5000 0.2801 0.9448  3 Al 2.91-2.92, 4 Ho 3.10-3.11, 2 Tb 3.12
Sn: 0.5000 0.9448 0.2801  3 Al 2.91-2.92, 4 Ho 3.10-3.11, 2 Tb 3.12

Spin magnetization (μB per formula unit): 0.0
Final energy (eV/atom): -4.6308



# 2
Entry from OQMD via LeMat-Bulk: an optimized crystal structure of HoTm2Al3CuSn2 (PBE).

a b c (Å): 4.2422 7.2542 7.2542
angles (deg): 120.17 90.00 90.00
Last column: nearest neighbours and their distance in Å.
Fractional positions:
Ho: 0.0000 0.0000 0.0000  1 Cu 2.82, 4 Sn 3.10
Tm: 0.0000 0.2268 0.6134  1 Cu 2.79, 4 Sn 3.08-3.09
Tm: 0.0000 0.6134 0.2268  1 Cu 2.79, 4 Sn 3.08-3.09
Al: 0.5000 0.3882 0.3882  2 Cu 2.66, 2 Al 2.81, 2 Sn 2.90
Al: 0.5000 0.6128 0.8359  2 Cu 2.67, 2 Al 2.81, 2 Sn 2.89-2.90
Al: 0.5000 0.8359 0.6128  2 Cu 2.67, 2 Al 2.81, 2 Sn 2.89-2.90
Cu: 0.0000 0.6101 0.6101  6 Al 2.66-2.67, 2 Tm 2.79, 1 Ho 2.82
Sn: 0.5000 0.2810 0.9457  3 Al 2.89-2.90, 4 Tm 3.08-3.09, 2 Ho 3.10
Sn: 0.5000 0.9457 0.2810  3 Al 2.89-2.90, 4 Tm 3.08-3.09, 2 Ho 3.10

Spin magnetization (μB per formula unit): 0.0
Final energy (eV/atom): -4.5807



# 3
Entry from OQMD via LeMat-Bulk: an optimized crystal structure of Y2HoAl3CuSn2 (PBE).

a b c (Å): 4.2753 7.2957 7.2957
angles (deg): 119.90 90.00 90.00
Last column: nearest neighbours and their distance in Å.
Fractional positions:
Y: 0.0000 0.1936 0.8064  1 Cu 2.84, 4 Sn 3.12
Y: 0.0000 0.8064 0.1936  1 Cu 2.84, 4 Sn 3.12
Ho: 0.0000 0.5806 0.5806  1 Cu 2.80, 4 Sn 3.10
Al: 0.5000 0.1941 0.4174  2 Cu 2.68, 2 Al 2.82, 2 Sn 2.91-2.93
Al: 0.5000 0.4174 0.1941  2 Cu 2.68, 2 Al 2.82, 2 Sn 2.91-2.93
Al: 0.5000 0.9714 0.9714  2 Cu 2.70, 2 Al 2.82, 2 Sn 2.92
Cu: 0.0000 0.1967 0.1967  6 Al 2.68-2.70, 1 Ho 2.80, 2 Y 2.84
Sn: 0.5000 0.5276 0.8594  3 Al 2.91-2.93, 2 Ho 3.10, 4 Y 3.12
Sn: 0.5000 0.8594 0.5276  3 Al 2.91-2.93, 2 Ho 3.10, 4 Y 3.12

Spin magnetization (μB per formula unit): 0.0
Final energy (eV/atom): -5.0544



# 4
Entry from OQMD via LeMat-Bulk: an optimized crystal structure of HoTm2Al7Cu2 (PBE).

a b c (Å): 8.9978 8.9978 8.9978
angles (deg): 35.28 35.28 35.28
Last column: nearest neighbours and their distance in Å.
Fractional positions:
Ho: 0.0000 0.0000 0.0000  6 Cu 3.15, 12 Al 3.38
Tm: 0.1423 0.1423 0.1423  12 Al 3.16-3.22, 3 Tm 3.38
Tm: 0.8577 0.8577 0.8577  12 Al 3.16-3.22, 3 Tm 3.38
Al: 0.0728 0.5823 0.5823  2 Cu 2.53-2.57, 5 Al 2.68-2.78
Al: 0.4177 0.4177 0.9272  2 Cu 2.53-2.57, 5 Al 2.68-2.78
Al: 0.4177 0.9272 0.4177  2 Cu 2.53-2.57, 5 Al 2.68-2.78
Al: 0.5000 0.5000 0.5000  6 Al 2.73
Al: 0.5823 0.0728 0.5823  2 Cu 2.53-2.57, 5 Al 2.68-2.78
Al: 0.5823 0.5823 0.0728  2 Cu 2.53-2.57, 5 Al 2.68-2.78
Al: 0.9272 0.4177 0.4177  2 Cu 2.53-2.57, 5 Al 2.68-2.78
Cu: 0.3352 0.3352 0.3352  6 Al 2.53-2.57
Cu: 0.6648 0.6648 0.6648  6 Al 2.53-2.57

Spin magnetization (μB per formula unit): 0.0
Final energy (eV/atom): -4.4068



# 5
Entry from OQMD via LeMat-Bulk: an optimized crystal structure of YHoAl4Cu2 (PBE).

a b c (Å): 6.7875 5.4753 5.4753
angles (deg): 45.19 90.00 90.00
Last column: nearest neighbours and their distance in Å.
Fractional positions:
Y: 0.0000 0.0000 0.0000  3 Cu 2.87-3.03, 6 Al 3.03-3.21
Ho: 0.5000 0.8577 0.8577  3 Cu 2.87-3.04, 6 Al 3.03-3.21
Al: 0.1966 0.2888 0.2888  3 Cu 2.54-2.60, 1 Al 2.67
Al: 0.3041 0.5690 0.5690  3 Cu 2.55-2.59, 1 Al 2.66
Al: 0.6959 0.5690 0.5690  3 Cu 2.55-2.59, 1 Al 2.66
Al: 0.8034 0.2888 0.2888  3 Cu 2.54-2.60, 1 Al 2.67
Cu: 0.0000 0.7164 0.7164  6 Al 2.55-2.60
Cu: 0.5000 0.1412 0.1412  6 Al 2.54-2.59

Spin magnetization (μB per formula unit): 0.0
Final energy (eV/atom): -4.6283



# 6
Entry from OQMD via LeMat-Bulk: an optimized crystal structure of Y2HoAl3Cu3 (PBE).

a b c (Å): 3.9520 7.0557 7.0557
angles (deg): 119.90 90.00 90.00
Last column: nearest neighbours and their distance in Å.
Fractional positions:
Y: 0.0000 0.2069 0.7931  5 Cu 2.91-2.92, 6 Al 3.17-3.22
Y: 0.0000 0.7931 0.2069  5 Cu 2.91-2.92, 6 Al 3.17-3.22
Ho: 0.0000 0.6202 0.6202  5 Cu 2.90-2.91, 6 Al 3.18-3.21
Al: 0.5000 0.2073 0.4412  4 Cu 2.57-2.78, 2 Al 2.86-2.87
Al: 0.5000 0.4412 0.2073  4 Cu 2.57-2.78, 2 Al 2.86-2.87
Al: 0.5000 0.9724 0.9724  4 Cu 2.58-2.76, 2 Al 2.87
Cu: 0.0000 0.2078 0.2078  6 Al 2.57-2.58
Cu: 0.5000 0.5406 0.8724  3 Al 2.76-2.78, 2 Ho 2.90, 4 Y 2.91
Cu: 0.5000 0.8724 0.5406  3 Al 2.76-2.78, 2 Ho 2.90, 4 Y 2.91

Spin magnetization (μB per formula unit): 0.0
Final energy (eV/atom): -4.8913



# 7
Entry from OQMD via LeMat-Bulk: an optimized crystal structure of YHo2Al7Cu2 (PBE).

a b c (Å): 9.0308 9.0308 9.0308
angles (deg): 35.33 35.33 35.33
Last column: nearest neighbours and their distance in Å.
Fractional positions:
Y: 0.0000 0.0000 0.0000  6 Cu 3.16, 12 Al 3.39
Ho: 0.1419 0.1419 0.1419  12 Al 3.17-3.25, 3 Ho 3.40
Ho: 0.8581 0.8581 0.8581  12 Al 3.17-3.25, 3 Ho 3.40
Al: 0.0725 0.5818 0.5818  2 Cu 2.53-2.57, 5 Al 2.69-2.79
Al: 0.4182 0.4182 0.9275  2 Cu 2.53-2.57, 5 Al 2.69-2.79
Al: 0.4182 0.9275 0.4182  2 Cu 2.53-2.57, 5 Al 2.69-2.79
Al: 0.5000 0.5000 0.5000  6 Al 2.75
Al: 0.5818 0.0725 0.5818  2 Cu 2.53-2.57, 5 Al 2.69-2.79
Al: 0.5818 0.5818 0.0725  2 Cu 2.53-2.57, 5 Al 2.69-2.79
Al: 0.9275 0.4182 0.4182  2 Cu 2.53-2.57, 5 Al 2.69-2.79
Cu: 0.3352 0.3352 0.3352  6 Al 2.53-2.57
Cu: 0.6648 0.6648 0.6648  6 Al 2.53-2.57

Spin magnetization (μB per formula unit): 0.0
Final energy (eV/atom): -4.5950



# 8
Entry from OQMD via LeMat-Bulk: an optimized crystal structure of HoZrAl2Cu4 (PBE).

a b c (Å): 4.2796 4.2796 8.2227
angles (deg): 90.00 90.00 120.00
Last column: nearest neighbours and their distance in Å.
Fractional positions:
Ho: 0.0000 0.0000 0.0000  8 Cu 2.80-2.85
Zr: 0.3333 0.6667 0.5000  8 Cu 2.70-2.80
Al: 0.6667 0.3333 0.2823  6 Cu 2.52-2.63
Al: 0.6667 0.3333 0.7177  6 Cu 2.52-2.63
Cu: 0.0000 0.0000 0.3408  3 Al 2.52, 1 Cu 2.62, 3 Zr 2.80, 1 Ho 2.80
Cu: 0.0000 0.0000 0.6592  3 Al 2.52, 1 Cu 2.62, 3 Zr 2.80, 1 Ho 2.80
Cu: 0.3333 0.6667 0.1719  3 Al 2.63, 1 Zr 2.70, 4 Cu 2.83, 3 Ho 2.85
Cu: 0.3333 0.6667 0.8281  3 Al 2.63, 1 Zr 2.70, 4 Cu 2.83, 3 Ho 2.85

Spin magnetization (μB per formula unit): 0.0
Final energy (eV/atom): -4.8073